No. 1
Material: Zn6Ga
Method: DFT, PBE
State: relaxed

The space group is R-3, No. 148. As for the energy relative to the lowest polymorph listed for this composition: 0 meV per atom. The crystal system is trigonal. The value obtained for the energy is -1.46 eV per atom. The calculation puts the magnetic moment at 0.0000 μB/atom. The formation energy comes out at 0.07 eV per atom. The value obtained for the volume is 113 Å³/cell.

Unit cell a=6.749 b=6.749 c=6.749 alpha=117.95 beta=117.95 gamma=117.95
Positions (direct):
1 Zn 0.096 0.231 0.791
2 Zn 0.209 0.904 0.769
3 Zn 0.231 0.791 0.096
4 Zn 0.769 0.209 0.904
5 Zn 0.791 0.096 0.231
6 Zn 0.904 0.769 0.209
7 Ga 0.500 0.500 0.500

***

No. 2
Material: HoZnHgPt
Method: DFT, PBE
State: relaxed

The space group is F-43m, No. 216. The crystal system is cubic. The value obtained for the energy is -3.61 eV per atom. The calculation puts the magnetic moment at 0.0000 μB/atom. The formation energy comes out at -0.56 eV per atom. The value obtained for the volume is 79 Å³/cell.

Unit cell a=4.820 b=4.820 c=4.820 alpha=60.00 beta=60.00 gamma=60.00
Positions (direct):
1 Ho 0.000 0.000 0.000
2 Zn 0.500 0.500 0.500
3 Hg 0.250 0.250 0.250
4 Pt 0.750 0.750 0.750

***

No. 3
Material: CoSiNi2
Method: DFT, PBE
State: relaxed

The space group is Amm2, No. 38. As for the formation energy (no corrections): -0.266 eV per atom. The crystal system is orthorhombic. The value obtained for the energy is -6.29 eV per atom. The calculation puts the magnetic moment at 0.2604 μB/atom. The value obtained for the volume is 44 Å³/cell.

Unit cell a=3.654 b=4.858 c=4.858 alpha=30.67 beta=90.00 gamma=90.00
Positions (direct):
1 Co 0.000 0.000 0.000
2 Si 0.500 0.406 0.406
3 Ni 0.000 0.262 0.262
4 Ni 0.500 0.651 0.651

***

No. 4
Material: PmErTm2
Method: DFT, PBE
State: relaxed

The space group is R-3m, No. 166. As for the energy relative to the lowest polymorph listed for this composition: 14 meV per atom. The crystal system is trigonal. The value obtained for the energy is -4.54 eV per atom. The calculation puts the magnetic moment at 0.0000 μB/atom. The formation energy comes out at 0.03 eV per atom. The value obtained for the volume is 124 Å³/cell.

Unit cell a=11.662 b=11.662 c=11.662 alpha=17.44 beta=17.44 gamma=17.44
Positions (direct):
1 Pm 0.000 0.000 0.000
2 Er 0.500 0.500 0.500
3 Tm 0.249 0.249 0.249
4 Tm 0.751 0.751 0.751

***

No. 5
Material: ZnBi2Pt2
Method: DFT, PBE
State: relaxed

The space group is P4/mbm, No. 127. As for the energy relative to the lowest polymorph listed for this composition: 222 meV per atom. The crystal system is tetragonal. The value obtained for the energy is -4.13 eV per atom. The calculation puts the magnetic moment at 0.0000 μB/atom. The formation energy comes out at 0.09 eV per atom. The value obtained for the volume is 227 Å³/cell.

Unit cell a=8.022 b=8.022 c=3.532 alpha=90.00 beta=90.00 gamma=90.00
Positions (direct):
1 Zn 0.000 0.000 0.000
2 Zn 0.500 0.500 0.000
3 Bi 0.170 0.330 0.000
4 Bi 0.330 0.830 0.000
5 Bi 0.670 0.170 0.000
6 Bi 0.830 0.670 0.000
7 Pt 0.125 0.625 0.500
8 Pt 0.375 0.125 0.500
9 Pt 0.625 0.875 0.500
10 Pt 0.875 0.375 0.500

***

No. 6
Material: ZrCuHgTe3
Method: DFT, PBE
State: relaxed

The space group is P2_1/m, No. 11. As for the formation energy (no corrections): -0.455 eV per atom. The crystal system is monoclinic. The value obtained for the energy is -4.18 eV per atom. The calculation puts the magnetic moment at 0.0000 μB/atom. The value obtained for the volume is 367 Å³/cell.

Unit cell a=9.986 b=3.917 c=10.526 alpha=90.00 beta=116.84 gamma=90.00
Positions (direct):
1 Zr 0.183 0.250 0.166
2 Zr 0.817 0.750 0.834
3 Cu 0.417 0.750 0.404
4 Cu 0.583 0.250 0.596
5 Hg 0.287 0.750 0.772
6 Hg 0.713 0.250 0.228
7 Te 0.043 0.250 0.850
8 Te 0.287 0.250 0.473
9 Te 0.382 0.750 0.142
10 Te 0.618 0.250 0.858
11 Te 0.713 0.750 0.527
12 Te 0.957 0.750 0.150

***

No. 7
Material: HgC3
Method: DFT, PBE
State: relaxed

The space group is P-6m2, No. 187. As for the energy relative to the lowest polymorph listed for this composition: 1836 meV per atom. The crystal system is hexagonal. The value obtained for the energy is -4.42 eV per atom. The calculation puts the magnetic moment at 0.0000 μB/atom. The formation energy comes out at 2.58 eV per atom. The value obtained for the volume is 58 Å³/cell.

Unit cell a=3.789 b=3.789 c=4.690 alpha=90.00 beta=90.00 gamma=120.00
Positions (direct):
1 Hg 0.000 0.000 0.000
2 C 0.000 0.000 0.500
3 C 0.333 0.667 0.359
4 C 0.333 0.667 0.641

***

No. 8
Material: AgRu4N2
Method: DFT, PBE
State: relaxed

The space group is I4/mmm, No. 139. As for the formation energy (no corrections): 2.120 eV per atom. The crystal system is tetragonal. The value obtained for the energy is -5.97 eV per atom. The calculation puts the magnetic moment at 0.4937 μB/atom. The value obtained for the volume is 124 Å³/cell.

Unit cell a=6.441 b=6.441 c=6.441 alpha=136.78 beta=136.78 gamma=62.78
Positions (direct):
1 Ag 0.000 0.000 0.000
2 Ru 0.000 0.500 0.500
3 Ru 0.247 0.247 0.000
4 Ru 0.500 0.000 0.500
5 Ru 0.753 0.753 0.000
6 N 0.402 0.402 0.000
7 N 0.598 0.598 0.000

***

No. 9
Material: Rb2Na3Tl
Method: DFT, PBE
State: relaxed

The space group is Immm, No. 71. As for the energy relative to the lowest polymorph listed for this composition: 77 meV per atom. The crystal system is orthorhombic. The value obtained for the energy is -1.32 eV per atom. The calculation puts the magnetic moment at 0.0000 μB/atom. The formation energy comes out at 0.05 eV per atom. The value obtained for the volume is 300 Å³/cell.

Unit cell a=8.742 b=8.742 c=8.742 alpha=141.55 beta=133.06 gamma=62.23
Positions (direct):
1 Rb 0.210 0.210 0.000
2 Rb 0.790 0.790 0.000
3 Na 0.000 0.500 0.500
4 Na 0.398 0.898 0.500
5 Na 0.602 0.102 0.500
6 Tl 0.500 0.500 0.000

***

No. 10
Material: Ba4Ga2Cl
Method: DFT, PBE
State: relaxed

The space group is I4/mmm, No. 139. As for the formation energy (no corrections): -0.660 eV per atom. The crystal system is tetragonal. The value obtained for the energy is -2.89 eV per atom. The calculation puts the magnetic moment at 0.0000 μB/atom. The value obtained for the volume is 303 Å³/cell.

Unit cell a=9.039 b=9.039 c=9.039 alpha=139.98 beta=139.98 gamma=57.89
Positions (direct):
1 Ba 0.000 0.500 0.500
2 Ba 0.204 0.204 0.000
3 Ba 0.500 0.000 0.500
4 Ba 0.796 0.796 0.000
5 Ga 0.409 0.409 0.000
6 Ga 0.591 0.591 0.000
7 Cl 0.000 0.000 0.000

***

No. 11
Material: LiY3Pb
Method: DFT, PBE
State: relaxed

The space group is Pm-3m, No. 221. As for the energy relative to the lowest polymorph listed for this composition: 0 meV per atom. The crystal system is cubic. The value obtained for the energy is -4.80 eV per atom. The calculation puts the magnetic moment at 0.3463 μB/atom. The formation energy comes out at 0.20 eV per atom. The value obtained for the volume is 145 Å³/cell.

Unit cell a=5.249 b=5.249 c=5.249 alpha=90.00 beta=90.00 gamma=90.00
Positions (direct):
1 Li 0.000 0.000 0.000
2 Y 0.000 0.000 0.500
3 Y 0.000 0.500 0.000
4 Y 0.500 0.000 0.000
5 Pb 0.500 0.500 0.500